# La2Pm5Dy4 GGA-PBE relaxed
# formation energy from the elements	0.172	eV/atom
# E above lowest polymorph	106.5	meV per atom
# VASP energy	-100.25	eV per cell
data_La2Pm5Dy4
_symmetry_space_group_name_H-M 'I m m m'
_symmetry_Int_Tables_number 71
_symmetry_space_group_name_Hall '-I 2 2'
_cell_length_a 3.543
_cell_length_b 9.225
_cell_length_c 23.693
_cell_angle_alpha 90.00
_cell_angle_beta 90.00
_cell_angle_gamma 90.00
loop_
_atom_site_label
_atom_site_fract_x
_atom_site_fract_y
_atom_site_fract_z
La1 0.000 0.000 0.233
Pm1 0.000 0.194 0.359
Pm2 0.000 0.500 0.000
Dy1 0.000 0.000 0.097
Dy2 0.000 0.314 0.500

---

# La3PmDy2 GGA-PBE relaxed
# formation energy from the elements	0.011	eV/atom
# E above lowest polymorph	0.0	meV per atom
# VASP energy	-57.34	eV per cell
data_La3PmDy2
_symmetry_space_group_name_H-M 'C 1 2/m 1'
_symmetry_Int_Tables_number 12
_symmetry_space_group_name_Hall '-C 2y'
_cell_length_a 6.365
_cell_length_b 11.020
_cell_length_c 6.259
_cell_angle_alpha 90.00
_cell_angle_beta 109.82
_cell_angle_gamma 90.00
loop_
_atom_site_label
_atom_site_fract_x
_atom_site_fract_y
_atom_site_fract_z
La1 0.000 0.000 0.000
La2 0.000 0.333 0.000
Pm1 0.000 0.500 0.500
Dy1 0.000 0.167 0.500

---

# LaPmDy3 GGA-PBE relaxed
# formation energy from the elements	0.317	eV/atom
# E above lowest polymorph	239.5	meV per atom
# VASP energy	-43.80	eV per cell
data_LaPmDy3
_symmetry_space_group_name_H-M 'P 1 21/m 1'
_symmetry_Int_Tables_number 11
_symmetry_space_group_name_Hall '-P 2yb'
_cell_length_a 3.668
_cell_length_b 11.695
_cell_length_c 8.649
_cell_angle_alpha 90.00
_cell_angle_beta 102.23
_cell_angle_gamma 90.00
loop_
_atom_site_label
_atom_site_fract_x
_atom_site_fract_y
_atom_site_fract_z
La1 0.189 0.250 0.376
Pm1 0.481 0.750 0.970
Dy1 0.147 0.750 0.298
Dy2 0.344 0.003 0.688